Entry 1:
A relaxed HoTm4Th6 crystal, computed with PBE.

Lattice parameters (Å, degrees): 11.146 10.368 6.392 79.51 66.17 34.32
Atoms (fractional coordinates):
Ho  0.000  0.000  0.000
Tm  0.090  0.581  0.910
Tm  0.355  0.814  0.186
Tm  0.581  0.090  0.419
Tm  0.814  0.355  0.645
Th  0.398  0.935  0.602
Th  0.430  0.430  0.070
Th  0.520  0.999  0.001
Th  0.930  0.930  0.570
Th  0.935  0.398  0.065
Th  0.999  0.520  0.480

Results
**Fermi-level density of states**: 1.52 states/eV/atom
**E_form**: 239 meV per atom
**Symmetry**: Fmm2, No. 42
**Final energy**: -64.4 eV for the cell shown



Entry 2:
A relaxed Ho4Tm6Th crystal, computed with PBE.

Lattice parameters (Å, degrees): 5.583 5.583 25.284 90.00 90.00 120.03
Atoms (fractional coordinates):
Ho  0.000  0.000  0.122
Ho  0.000  0.000  0.378
Ho  0.000  0.000  0.622
Ho  0.000  0.000  0.878
Ho  0.333  0.667  0.541
Ho  0.333  0.667  0.959
Ho  0.667  0.333  0.041
Ho  0.667  0.333  0.459
Tm  0.000  0.000  0.000
Tm  0.000  0.000  0.500
Tm  0.001  0.999  0.250
Tm  0.333  0.667  0.683
Tm  0.333  0.667  0.817
Tm  0.334  0.666  0.102
Tm  0.334  0.666  0.398
Tm  0.666  0.334  0.602
Tm  0.666  0.334  0.898
Tm  0.667  0.333  0.183
Tm  0.667  0.333  0.317
Tm  0.999  0.001  0.750
Th  0.334  0.666  0.250
Th  0.666  0.334  0.750

Results
**Fermi-level density of states**: 1.60 states/eV/atom
**E_form**: 137 meV per atom
**Symmetry**: Cmcm, No. 63
**Final energy**: -102.1 eV for the cell shown
**E above lowest polymorph**: 0.000 eV per atom



Entry 3:
A relaxed Ho5TmTh3 crystal, computed with PBE.

Lattice parameters (Å, degrees): 7.465 7.465 12.273 95.43 95.43 66.58
Atoms (fractional coordinates):
Ho  0.057  0.057  0.622
Ho  0.171  0.561  0.226
Ho  0.172  0.828  0.000
Ho  0.244  0.244  0.977
Ho  0.439  0.829  0.774
Ho  0.561  0.171  0.226
Ho  0.756  0.756  0.023
Ho  0.828  0.172  0.000
Ho  0.829  0.439  0.774
Ho  0.943  0.943  0.378
Tm  0.361  0.361  0.733
Tm  0.639  0.639  0.267
Th  0.122  0.122  0.217
Th  0.239  0.239  0.457
Th  0.500  0.500  0.000
Th  0.500  0.500  0.500
Th  0.761  0.761  0.543
Th  0.878  0.878  0.783

Results
**Fermi-level density of states**: 1.52 states/eV/atom
**E_form**: 563 meV per atom
**Symmetry**: C2/m, No. 12
**Final energy**: -89.1 eV for the cell shown



Entry 4:
A relaxed Ho4TmTh5 crystal, computed with PBE.

Lattice parameters (Å, degrees): 8.946 8.946 11.114 107.02 107.02 22.14
Atoms (fractional coordinates):
Ho  0.094  0.094  0.310
Ho  0.303  0.303  0.412
Ho  0.697  0.697  0.588
Ho  0.906  0.906  0.690
Tm  0.500  0.500  0.500
Th  0.109  0.109  0.794
Th  0.197  0.197  0.094
Th  0.500  0.500  0.000
Th  0.803  0.803  0.906
Th  0.891  0.891  0.206

Results
**Fermi-level density of states**: 1.57 states/eV/atom
**E_form**: 130 meV per atom
**Symmetry**: C2/m, No. 12
**Final energy**: -58.6 eV for the cell shown



Entry 5:
A relaxed HoTm4Th2 crystal, computed with PBE.

Lattice parameters (Å, degrees): 3.437 8.478 8.612 62.28 89.81 82.14
Atoms (fractional coordinates):
Ho  0.000  0.000  0.000
Tm  0.041  0.448  0.716
Tm  0.375  0.849  0.420
Tm  0.625  0.151  0.580
Tm  0.959  0.552  0.284
Th  0.411  0.719  0.867
Th  0.589  0.281  0.133

Results
**Fermi-level density of states**: 1.63 states/eV/atom
**E_form**: 115 meV per atom
**Symmetry**: P-1, No. 2
**Final energy**: -36.5 eV for the cell shown
**E above lowest polymorph**: 0.000 eV per atom



Entry 6:
A relaxed Ho4Tm5Th2 crystal, computed with PBE.

Lattice parameters (Å, degrees): 3.506 8.758 11.108 89.05 89.45 89.72
Atoms (fractional coordinates):
Ho  0.214  0.085  0.239
Ho  0.248  0.268  0.704
Ho  0.752  0.732  0.296
Ho  0.786  0.915  0.761
Tm  0.233  0.642  0.586
Tm  0.256  0.820  0.021
Tm  0.500  0.000  0.500
Tm  0.744  0.180  0.979
Tm  0.767  0.358  0.414
Th  0.250  0.455  0.138
Th  0.750  0.545  0.862

Results
**Fermi-level density of states**: 1.51 states/eV/atom
**E_form**: 52 meV per atom
**Symmetry**: P-1, No. 2
**Final energy**: -54.9 eV for the cell shown
**E above lowest polymorph**: 0.000 eV per atom



Entry 7:
A relaxed Ho15Tm2Th2 crystal, computed with PBE.

Lattice parameters (Å, degrees): 8.691 8.691 8.691 78.61 78.61 78.61
Atoms (fractional coordinates):
Ho  0.000  0.000  0.500
Ho  0.000  0.302  0.698
Ho  0.000  0.500  0.000
Ho  0.000  0.698  0.302
Ho  0.146  0.630  0.630
Ho  0.302  0.000  0.698
Ho  0.302  0.698  0.000
Ho  0.370  0.370  0.854
Ho  0.370  0.854  0.370
Ho  0.500  0.000  0.000
Ho  0.630  0.146  0.630
Ho  0.630  0.630  0.146
Ho  0.698  0.000  0.302
Ho  0.698  0.302  0.000
Ho  0.854  0.370  0.370
Tm  0.315  0.315  0.315
Tm  0.685  0.685  0.685
Th  0.088  0.088  0.088
Th  0.912  0.912  0.912

Results
**Fermi-level density of states**: 1.57 states/eV/atom
**E_form**: 307 meV per atom
**Symmetry**: R-3m, No. 166
**Final energy**: -86.6 eV for the cell shown



Entry 8:
A relaxed Ho2Tm8Th3 crystal, computed with PBE.

Lattice parameters (Å, degrees): 8.638 8.638 6.553 98.22 98.22 64.29
Atoms (fractional coordinates):
Ho  0.216  0.216  0.291
Ho  0.784  0.784  0.709
Tm  0.197  0.197  0.785
Tm  0.209  0.566  0.063
Tm  0.419  0.419  0.632
Tm  0.434  0.791  0.937
Tm  0.566  0.209  0.063
Tm  0.581  0.581  0.368
Tm  0.791  0.434  0.937
Tm  0.803  0.803  0.215
Th  0.000  0.000  0.000
Th  0.170  0.830  0.500
Th  0.830  0.170  0.500

Results
**Fermi-level density of states**: 1.58 states/eV/atom
**E_form**: 283 meV per atom
**Symmetry**: C2/m, No. 12
**Final energy**: -63.5 eV for the cell shown
**E above lowest polymorph**: 0.005 eV per atom



Entry 9:
A relaxed Ho3TmTh7 crystal, computed with PBE.

Lattice parameters (Å, degrees): 8.421 8.421 5.889 109.76 109.76 83.17
Atoms (fractional coordinates):
Ho  0.000  0.000  0.000
Ho  0.205  0.795  0.500
Ho  0.795  0.205  0.500
Tm  0.500  0.500  0.000
Th  0.011  0.597  0.805
Th  0.212  0.212  0.697
Th  0.403  0.989  0.195
Th  0.500  0.500  0.500
Th  0.597  0.011  0.805
Th  0.788  0.788  0.303
Th  0.989  0.403  0.195

Results
**Fermi-level density of states**: 1.49 states/eV/atom
**E_form**: 368 meV per atom
**Symmetry**: C2/m, No. 12
**Final energy**: -66.1 eV for the cell shown



Entry 10:
A relaxed Ho3Tm9Th2 crystal, computed with PBE.

Lattice parameters (Å, degrees): 3.497 11.069 11.637 76.80 81.41 89.95
Atoms (fractional coordinates):
Ho  0.000  0.000  0.000
Ho  0.216  0.339  0.566
Ho  0.784  0.661  0.434
Tm  0.000  0.500  0.000
Tm  0.148  0.576  0.706
Tm  0.211  0.875  0.579
Tm  0.361  0.928  0.279
Tm  0.420  0.692  0.156
Tm  0.580  0.308  0.844
Tm  0.639  0.072  0.721
Tm  0.789  0.125  0.421
Tm  0.852  0.424  0.294
Th  0.423  0.231  0.152
Th  0.577  0.769  0.848

Results
**Fermi-level density of states**: 1.80 states/eV/atom
**E_form**: 54 meV per atom
**Symmetry**: P-1, No. 2
**Final energy**: -68.1 eV for the cell shown



Entry 11:
A relaxed Ho3Tm4Th4 crystal, computed with PBE.

Lattice parameters (Å, degrees): 10.632 6.568 6.568 50.71 90.00 90.00
Atoms (fractional coordinates):
Ho  0.000  0.000  0.000
Ho  0.286  0.160  0.160
Ho  0.714  0.160  0.160
Tm  0.000  0.310  0.310
Tm  0.296  0.852  0.852
Tm  0.500  0.355  0.355
Tm  0.704  0.852  0.852
Th  0.000  0.698  0.698
Th  0.210  0.514  0.514
Th  0.500  0.634  0.634
Th  0.790  0.514  0.514

Results
**Fermi-level density of states**: 1.54 states/eV/atom
**E_form**: 203 meV per atom
**Symmetry**: Amm2, No. 38
**Final energy**: -59.1 eV for the cell shown



Entry 12:
A relaxed HoTm8Th2 crystal, computed with PBE.

Lattice parameters (Å, degrees): 8.882 8.882 6.561 99.20 99.20 42.95
Atoms (fractional coordinates):
Ho  0.000  0.000  0.000
Tm  0.174  0.654  0.597
Tm  0.199  0.199  0.816
Tm  0.346  0.826  0.403
Tm  0.410  0.410  0.095
Tm  0.590  0.590  0.905
Tm  0.654  0.174  0.597
Tm  0.801  0.801  0.184
Tm  0.826  0.346  0.403
Th  0.248  0.248  0.335
Th  0.752  0.752  0.665

Results
**Fermi-level density of states**: 1.39 states/eV/atom
**E_form**: 190 meV per atom
**Symmetry**: C2/m, No. 12
**Final energy**: -53.1 eV for the cell shown
**E above lowest polymorph**: 0.000 eV per atom



> What is the formula in the fifth record?

HoTm4Th2